No. 1
The following is a PBE calculation of crystalline Mn3NiMo at its relaxed geometry, from Alexandria via LeMat-Bulk.

Values from the calculation:
ΔE to the lowest computed polymorph	0.25	eV/f.u.
crystal system	cubic
ΔH_f (0 K)	7.6	eV/f.u.

Cell: 4.524 4.524 4.524 Å, 90.00 90.00 90.00°
Sites, in units of the cell vectors:
Ni 0.500 0.500 0.500
Mo 0.000 0.000 0.000
Mn 0.000 0.500 0.000
Mn 0.000 0.000 0.500
Mn 0.500 0.000 0.000

***

No. 2
The following is a PBE calculation of crystalline RuRh3I at its relaxed geometry, from Alexandria via LeMat-Bulk.

Values from the calculation:
ΔE to the lowest computed polymorph	0.00	eV/f.u.
crystal system	cubic
formation energy without anion corrections	1.28	eV per atom

Cell: 4.740 4.740 4.740 Å, 90.00 90.00 90.00°
Sites, in units of the cell vectors:
I 0.500 0.500 0.500
Ru 0.000 0.000 0.000
Rh 0.000 0.500 0.000
Rh 0.000 0.000 0.500
Rh 0.500 0.000 0.000